Entry 1:
Compound: YPtN2O
Source: Alexandria
Functional: PBE-GGA
Structure: optimized geometry

electronic total energy = -34.7 eV per cell

Geometry as POSCAR:
```
YPtN2O
1.0
3.915 0.000 0.000
0.000 3.915 0.000
0.000 0.000 4.155
Y Pt N O
1 1 2 1
Direct
0.000 0.000 0.000 Y
0.500 0.500 0.500 Pt
0.000 0.500 0.500 N
0.500 0.000 0.500 N
0.500 0.500 0.000 O
```

---

Entry 2:
Compound: Ca2TaZn
Source: Alexandria
Functional: PBE-GGA
Structure: optimized geometry

ΔE_f = 0.61 eV/atom
electronic total energy = -29.4 eV per cell

Geometry as POSCAR:
```
Ca2TaZn
1.0
4.462 0.000 0.000
0.000 4.462 0.000
0.000 0.000 9.532
Ca Ta Zn
4 2 2
Direct
0.000 0.500 0.250 Ca
0.000 0.500 0.750 Ca
0.500 0.000 0.250 Ca
0.500 0.000 0.750 Ca
0.000 0.000 0.000 Ta
0.500 0.500 0.500 Ta
0.000 0.000 0.500 Zn
0.500 0.500 0.000 Zn
```

---

Entry 3:
Compound: HfCdAgHg
Source: Alexandria
Functional: PBE-GGA
Structure: optimized geometry

ΔE_f = 0.03 eV/atom
electronic total energy = -55.6 eV per cell

Geometry as POSCAR:
```
HfCdAgHg
1.0
6.855 0.000 0.000
0.000 6.855 0.000
0.000 0.000 6.855
Hf Cd Ag Hg
4 4 4 4
Direct
0.000 0.000 0.000 Hf
0.000 0.500 0.500 Hf
0.500 0.000 0.500 Hf
0.500 0.500 0.000 Hf
0.000 0.000 0.500 Cd
0.000 0.500 0.000 Cd
0.500 0.000 0.000 Cd
0.500 0.500 0.500 Cd
0.250 0.250 0.250 Ag
0.250 0.750 0.750 Ag
0.750 0.250 0.750 Ag
0.750 0.750 0.250 Ag
0.250 0.250 0.750 Hg
0.250 0.750 0.250 Hg
0.750 0.250 0.250 Hg
0.750 0.750 0.750 Hg
```

---

Entry 4:
Compound: Sr3Pu2Rh4
Source: Alexandria
Functional: PBE-GGA
Structure: optimized geometry

ΔE_f = -0.37 eV/atom
electronic total energy = -66.4 eV per cell

Geometry as POSCAR:
```
Sr3Pu2Rh4
1.0
6.052 -2.139 0.000
6.052 2.139 0.000
-2.366 0.000 9.072
Sr Pu Rh
3 2 4
Direct
0.000 0.000 0.000 Sr
0.376 0.376 0.618 Sr
0.624 0.624 0.382 Sr
0.326 0.326 0.213 Pu
0.674 0.674 0.787 Pu
0.087 0.087 0.629 Rh
0.282 0.282 0.909 Rh
0.718 0.718 0.091 Rh
0.913 0.913 0.371 Rh
```

---

Entry 5:
Compound: YW2S2
Source: Alexandria
Functional: PBE-GGA
Structure: optimized geometry

energy above the most stable polymorph in this dataset = 0 meV per atom
electronic total energy = -83.3 eV per cell

Geometry as POSCAR:
```
YW2S2
1.0
4.146 0.000 0.000
0.000 4.146 0.000
0.000 0.000 10.809
Y W S
2 4 4
Direct
0.000 0.000 0.000 Y
0.500 0.500 0.500 Y
0.000 0.500 0.250 W
0.000 0.500 0.750 W
0.500 0.000 0.250 W
0.500 0.000 0.750 W
0.000 0.000 0.360 S
0.000 0.000 0.640 S
0.500 0.500 0.140 S
0.500 0.500 0.860 S
```

---

Entry 6:
Compound: Pa3H5N
Source: Alexandria
Functional: PBE-GGA
Structure: optimized geometry

electronic total energy = -117.6 eV per cell

Geometry as POSCAR:
```
Pa3H5N
1.0
5.949 -2.664 0.000
5.949 2.664 0.000
-2.431 0.000 7.125
Pa H N
6 10 2
Direct
0.000 0.000 0.000 Pa
0.000 0.000 0.500 Pa
0.327 0.346 0.667 Pa
0.346 0.327 0.167 Pa
0.654 0.673 0.833 Pa
0.673 0.654 0.333 Pa
0.083 0.583 0.919 H
0.084 0.582 0.411 H
0.251 0.749 0.250 H
0.417 0.917 0.581 H
0.418 0.916 0.089 H
0.582 0.084 0.911 H
0.583 0.083 0.419 H
0.749 0.251 0.750 H
0.916 0.418 0.589 H
0.917 0.417 0.081 H
0.253 0.747 0.750 N
0.747 0.253 0.250 N
```

---

Entry 7:
Compound: Al2CdMo
Source: Alexandria
Functional: PBE-GGA
Structure: optimized geometry

ΔE_f = 0.07 eV/atom
electronic total energy = -19.0 eV per cell

Geometry as POSCAR:
```
Al2CdMo
1.0
4.250 0.000 0.000
0.000 4.250 0.000
0.000 0.000 3.621
Al Cd Mo
2 1 1
Direct
0.000 0.500 0.000 Al
0.500 0.000 0.000 Al
0.000 0.000 0.500 Cd
0.500 0.500 0.500 Mo
```

---

Entry 8:
Compound: Ce2DyIn2Ag2
Source: Alexandria
Functional: PBE-GGA
Structure: optimized geometry

ΔE_f = -0.24 eV/atom
electronic total energy = -29.3 eV per cell

Geometry as POSCAR:
```
Ce2DyIn2Ag2
1.0
2.387 1.378 8.759
-2.387 1.378 8.759
0.000 -2.756 8.759
Ce Dy In Ag
2 1 2 2
Direct
0.139 0.139 0.139 Ce
0.861 0.861 0.861 Ce
0.000 0.000 0.000 Dy
0.267 0.267 0.267 In
0.733 0.733 0.733 In
0.403 0.403 0.403 Ag
0.597 0.597 0.597 Ag
```